# PmYTc (PBE, optimized geometry)
# ΔE_f	94	kJ per mole of atoms
# spin magnetization	0.14	Bohr magnetons per cell
data_PmYTc
_chemical_formula_sum 'Pm4 Y4 Tc4'
_symmetry_space_group_name_H-M 'F -4 3 m'
_symmetry_Int_Tables_number 216
_symmetry_space_group_name_Hall 'F -4 2 3'
_cell_length_a 6.804
_cell_length_b 6.804
_cell_length_c 6.804
_cell_angle_alpha 90.00
_cell_angle_beta 90.00
_cell_angle_gamma 90.00
loop_
_atom_site_label
_atom_site_fract_x
_atom_site_fract_y
_atom_site_fract_z
_atom_site_occupancy
Pm1 0.000 0.000 0.000 1
Y1 0.250 0.250 0.250 1
Tc1 0.000 0.000 0.500 1